# 1
Here is a relaxed BaBiOs3 crystal from the Alexandria database. Energies are from GGA-PBE.

total moment = 0.602 μB per atom
energy above the most stable polymorph in this dataset = 1.238 eV/atom
space-group type = No. 221

```
data_BaBiOs3
_cell_length_a 5.091
_cell_length_b 5.091
_cell_length_c 5.091
_cell_angle_alpha 90.00
_cell_angle_beta 90.00
_cell_angle_gamma 90.00
_space_group_name_H-M_alt 'P 1'
_space_group_IT_number 1
loop_
_space_group_symop_operation_xyz
'x,y,z'
loop_
_atom_site_label
_atom_site_type_symbol
_atom_site_fract_x
_atom_site_fract_y
_atom_site_fract_z
_atom_site_occupancy
Os1 Os 0.000 0.500 0.000 1
Os2 Os 0.000 0.000 0.500 1
Os3 Os 0.500 0.000 0.000 1
Bi1 Bi 0.500 0.500 0.500 1
Ba1 Ba 0.000 0.000 0.000 1
```

=====

# 2
Here is a relaxed Y2Cu5Pd5 crystal from the Alexandria database. Energies are from GGA-PBE.

total moment = 0.000 μB per atom
final energy = -65.22 eV per cell
space-group type = No. 47

```
data_Y2Cu5Pd5
_cell_length_a 4.383
_cell_length_b 5.044
_cell_length_c 9.007
_cell_angle_alpha 90.00
_cell_angle_beta 90.00
_cell_angle_gamma 90.00
_space_group_name_H-M_alt 'P 1'
_space_group_IT_number 1
loop_
_space_group_symop_operation_xyz
'x,y,z'
loop_
_atom_site_label
_atom_site_type_symbol
_atom_site_fract_x
_atom_site_fract_y
_atom_site_fract_z
_atom_site_occupancy
Y1 Y 0.000 0.500 0.000 1
Y2 Y 0.000 0.000 0.500 1
Cu1 Cu 0.500 0.500 0.500 1
Cu2 Cu 0.500 0.750 0.257 1
Cu3 Cu 0.500 0.250 0.743 1
Cu4 Cu 0.500 0.250 0.257 1
Cu5 Cu 0.500 0.750 0.743 1
Pd1 Pd 0.000 0.500 0.335 1
Pd2 Pd 0.000 0.000 0.823 1
Pd3 Pd 0.000 0.000 0.177 1
Pd4 Pd 0.000 0.500 0.665 1
Pd5 Pd 0.500 0.000 0.000 1
```